{"formula": "SrV2PdO8", "functional": "PBE with a Hubbard U", "state": "optimized geometry", "e_tot_ev_per_atom": -6.78, "space_group": "P-3m1, No. 164", "lattice_angstrom": [[-3.447, -4.353, 0.783], [2.889, 2.101, 4.322], [-5.144, 4.316, 1.340]], "species": ["O", "O", "O", "O", "O", "O", "O", "O", "Sr", "V", "V", "Pd"], "fractional_positions": [[0.686, 0.843, 0.813], [0.843, 0.686, 0.187], [0.667, 0.333, 0.493], [0.157, 0.843, 0.813], [0.843, 0.157, 0.187], [0.157, 0.314, 0.813], [0.314, 0.157, 0.187], [0.333, 0.667, 0.507], [0.000, 0.000, 0.500], [0.333, 0.667, 0.750], [0.667, 0.333, 0.250], [0.000, 0.000, 0.000]]}